# AcTaCo2O8 PBE+U optimized geometry
data_AcTaCo2O8
_space_group_name_H-M_alt 'P -3 m 1'
_space_group_IT_number 164
_space_group_name_Hall '-P 3 2"'
_cell_length_a 5.6401
_cell_length_b 5.6401
_cell_length_c 6.8653
_cell_angle_alpha 90.00
_cell_angle_beta 90.00
_cell_angle_gamma 120.00
loop_
_atom_site_label
_atom_site_fract_x
_atom_site_fract_y
_atom_site_fract_z
Ac1 0.0000 0.0000 0.0000
Ta1 0.0000 0.0000 0.5000
Co1 0.3333 0.6667 0.7607
O1 0.1559 0.3119 0.6854
O2 0.3333 0.6667 0.0125
# Uncorrected energy in eV/atom: -7.2903